No. 1
Entry from OQMD: a relaxed CsNbAsO crystal (PBE).

The calculation puts the total magnetic moment at 0.47 Bohr magnetons per cell. The value obtained for the energy above the most stable polymorph in this dataset is 1.88 kcal/mol of atoms. As for the energy: -6.103 eV per atom.

It has space group Pmc2_1 (No. 26), with a = 3.589 Å, b = 7.782 Å, c = 7.828 Å, α = 90.00°, β = 90.00° and γ = 90.00°. The asymmetric unit holds Cs at (0.000, 0.188, 0.000), Nb at (0.500, 0.313, 0.443), As at (0.500, 0.471, 0.717) and O at (0.000, 0.200, 0.416).

***

No. 2
Entry from OQMD: a relaxed CsNbAsO crystal (PBE).

The calculation puts the total magnetic moment at 0.01 Bohr magnetons per cell. The value obtained for the energy above the most stable polymorph in this dataset is 20.73 kcal/mol of atoms. As for the energy: -5.286 eV per atom.

It has space group P4/nmm (No. 129, origin choice 2), with a = 4.218 Å, b = 4.218 Å, c = 12.541 Å, α = 90.00°, β = 90.00° and γ = 90.00°. The asymmetric unit holds Cs at (0.250, 0.250, 0.150), Nb at (0.250, 0.750, 0.500), As at (0.250, 0.250, 0.621) and O at (0.250, 0.750, 0.000).

***

No. 3
Entry from OQMD: a relaxed CsNbAsO crystal (PBE).

The calculation puts the total magnetic moment at 0.18 Bohr magnetons per cell. The value obtained for the energy above the most stable polymorph in this dataset is 21.11 kcal/mol of atoms. As for the energy: -5.270 eV per atom.

It has space group P4/nmm (No. 129, origin choice 2), with a = 4.276 Å, b = 4.276 Å, c = 11.825 Å, α = 90.00°, β = 90.00° and γ = 90.00°. The asymmetric unit holds Cs at (0.250, 0.250, 0.152), Nb at (0.250, 0.750, 0.500), As at (0.250, 0.250, 0.624) and O at (0.250, 0.750, 0.000).

***

No. 4
Entry from OQMD: a relaxed CsNdAsO crystal (PBE).

The calculation puts the total magnetic moment at 0.00 Bohr magnetons per cell. As for the energy: -4.671 eV per atom.

It has space group P4/nmm (No. 129, origin choice 2), with a = 6.159 Å, b = 6.159 Å, c = 5.538 Å, α = 90.00°, β = 90.00° and γ = 90.00°. The asymmetric unit holds Cs at (0.250, 0.250, 0.001), Nd at (0.250, 0.750, 0.500), As at (0.250, 0.250, 0.501) and O at (0.250, 0.750, 0.000).

***

No. 5
Entry from OQMD: a relaxed CsNdAsO crystal (PBE).

The calculation puts the total magnetic moment at 0.00 Bohr magnetons per cell. As for the energy: -4.671 eV per atom.

It has space group P4/mmm (No. 123), with a = 4.357 Å, b = 4.357 Å, c = 5.533 Å, α = 90.00°, β = 90.00° and γ = 90.00°. The asymmetric unit holds Cs at (0.000, 0.000, 0.000), Nd at (0.500, 0.500, 0.500), As at (0.000, 0.000, 0.500) and O at (0.500, 0.500, 0.000).

***

No. 6
Entry from OQMD: a relaxed CsRbNd2As2 crystal (PBE).

The calculation puts the total magnetic moment at 1.75 Bohr magnetons per cell. As for the energy: -3.994 eV per atom.

It has space group P3m1 (No. 156), with a = 4.5687 Å, b = 4.5687 Å, c = 15.5562 Å, α = 90.00°, β = 90.00° and γ = 120.00°. The asymmetric unit holds Cs at (0.0000, 0.0000, 0.0000), Rb at (0.3333, 0.6667, 0.4965), Nd at (0.6667, 0.3333, 0.2657), Nd at (0.6667, 0.3333, 0.7580), As at (0.0000, 0.0000, 0.3398) and As at (0.3333, 0.6667, 0.8322).

***

No. 7
Entry from OQMD: a relaxed Cs2NiAs2 crystal (PBE).

The calculation puts the total magnetic moment at 0.00 Bohr magnetons per cell. As for the energy: -3.743 eV per atom.

It has space group Cmcm (No. 63), with a = 7.246 Å, b = 14.835 Å, c = 6.171 Å, α = 90.00°, β = 90.00° and γ = 90.00°. The asymmetric unit holds Cs at (0.000, 0.092, 0.250), Cs at (0.000, 0.292, 0.750), Ni at (0.000, 0.500, 0.000) and As at (0.169, 0.410, 0.250).

***

No. 8
Entry from OQMD: a relaxed CsAsOsO crystal (PBE).

The calculation puts the total magnetic moment at 0.23 Bohr magnetons per cell. The value obtained for the energy above the most stable polymorph in this dataset is 8.92 kcal/mol of atoms. As for the energy: -5.421 eV per atom.

It has space group P4/nmm (No. 129, origin choice 2), with a = 3.873 Å, b = 3.873 Å, c = 12.674 Å, α = 90.00°, β = 90.00° and γ = 90.00°. The asymmetric unit holds Cs at (0.250, 0.250, 0.161), As at (0.250, 0.250, 0.624), Os at (0.250, 0.750, 0.500) and O at (0.250, 0.750, 0.000).

***

No. 9
Entry from OQMD: a relaxed CsAsOsO crystal (PBE).

The calculation puts the total magnetic moment at 0.00 Bohr magnetons per cell. The value obtained for the energy above the most stable polymorph in this dataset is 0.00 kcal/mol of atoms. As for the energy: -5.807 eV per atom.

It has space group Pmc2_1 (No. 26), with a = 3.806 Å, b = 8.304 Å, c = 6.818 Å, α = 90.00°, β = 90.00° and γ = 90.00°. The asymmetric unit holds Cs at (0.000, 0.186, 0.000), As at (0.000, 0.263, 0.505), Os at (0.500, 0.424, 0.577) and O at (0.500, 0.424, 0.861).

***

No. 10
Entry from OQMD: a relaxed CsAsOsO crystal (PBE).

The calculation puts the total magnetic moment at 0.01 Bohr magnetons per cell. The value obtained for the energy above the most stable polymorph in this dataset is 0.32 kcal/mol of atoms. As for the energy: -5.793 eV per atom.

It has space group Pmc2_1 (No. 26), with a = 3.751 Å, b = 6.433 Å, c = 8.176 Å, α = 90.00°, β = 90.00° and γ = 90.00°. The asymmetric unit holds Cs at (0.000, 0.132, 0.000), As at (0.500, 0.368, 0.657), Os at (0.500, 0.363, 0.356) and O at (0.000, 0.331, 0.353).